## Tb5Pm5Y (PBE)

Data for Tb5Pm5Y after structural relaxation.

- magnetic moment (μB per atom) = 0.00
- energy of formation (kJ/mol of formula units) = 153

a = 6.9542 Å, b = 7.0184 Å, c = 8.4647 Å
α = 75.70°, β = 76.61°, γ = 72.48°
With the nearest neighbours (Å) after each atom.
Space group P-1 (No. 2)
Inequivalent atoms, fractional coordinates:
1 Tb 0.0000 0.0000 0.0000 x1  2 Tb 3.36, 2 Y 3.48, 4 Pm 3.53-3.69
2 Tb 0.1718 0.7292 0.3494 x2  4 Tb 3.36-3.59, 5 Pm 3.43-3.68
3 Tb 0.2953 0.3583 0.6905 x2  1 Y 3.40, 5 Pm 3.41-3.71, 3 Tb 3.46-3.59
4 Pm 0.1410 0.2583 0.2696 x2  1 Y 3.38, 5 Tb 3.41-3.69, 3 Pm 3.51-3.63
5 Pm 0.3437 0.8673 0.6426 x2  6 Tb 3.43-3.84, 4 Pm 3.44-3.63, 1 Y 3.84
6 Pm 0.5000 0.5000 0.0000 x1  2 Y 3.51, 4 Pm 3.51-3.60, 4 Tb 3.68-3.71
7 Y 0.5000 0.0000 0.0000 x1  4 Pm 3.38-3.51, 6 Tb 3.40-3.78